Record 1
Here is a crystal of Hf2InH2 relaxed with PBEsol from Alexandria via LeMat-Bulk. Energies are from meta-GGA SCAN.

abc: 3.7415 3.7415 9.4482
angles: 90.00 90.00 90.00
Space group I4/mmm (No. 139)
Asymmetric unit:
Hf 0.0000 0.0000 0.1657 (multiplicity 4)
In 0.0000 0.0000 0.5000 (multiplicity 2)
H 0.0000 0.5000 0.2500 (multiplicity 4)

Values from the calculation:
E, eV/atom: -33.5237

***

Record 2
Here is a crystal of LaTaSeN2 relaxed with PBEsol from Alexandria via LeMat-Bulk. Energies are from meta-GGA SCAN.

abc: 4.1153 4.1153 5.8751
angles: 90.00 90.00 90.00
Space group P4/mmm (No. 123)
Asymmetric unit:
La 0.0000 0.0000 0.0000 (multiplicity 1)
Ta 0.5000 0.5000 0.5000 (multiplicity 1)
Se 0.0000 0.0000 0.5000 (multiplicity 1)
N 0.0000 0.5000 0.0000 (multiplicity 2)

Values from the calculation:
E_form (uncorrected), eV per atom: 1.154
E, eV/atom: -28.5163

***

Record 3
Here is a crystal of KLiBe2 relaxed with PBEsol from Alexandria via LeMat-Bulk. Energies are from meta-GGA SCAN.

abc: 5.4791 5.4791 2.6245
angles: 90.00 90.00 90.00
Space group P4/mmm (No. 123)
Asymmetric unit:
K 0.0000 0.0000 0.0000 (multiplicity 1)
Li 0.5000 0.5000 0.0000 (multiplicity 1)
Be 0.0000 0.5000 0.5000 (multiplicity 2)

Values from the calculation:
Formation energy from the elements, eV/atom: 1.025
E, eV/atom: -3.8311
E above lowest polymorph, eV/atom: 0.0740

***

Record 4
Here is a crystal of SrOsPd2 relaxed with PBEsol from Alexandria via LeMat-Bulk. Energies are from meta-GGA SCAN.

abc: 6.6069 6.6069 6.6069
angles: 90.00 90.00 90.00
Space group Fm-3m (No. 225)
Asymmetric unit:
Sr 0.0000 0.0000 0.0000 (multiplicity 4)
Os 0.0000 0.0000 0.5000 (multiplicity 4)
Pd 0.2500 0.2500 0.2500 (multiplicity 8)

Values from the calculation:
Formation energy from the elements, eV/atom: 0.512
E, eV/atom: -39.4143

***

Record 5
Here is a crystal of ScZnAs2Br relaxed with PBEsol from Alexandria via LeMat-Bulk. Energies are from meta-GGA SCAN.

abc: 4.6781 4.6781 5.1832
angles: 90.00 90.00 90.00
Space group P4/mmm (No. 123)
Asymmetric unit:
Sc 0.0000 0.0000 0.0000 (multiplicity 1)
Zn 0.5000 0.5000 0.5000 (multiplicity 1)
As 0.0000 0.5000 0.5000 (multiplicity 2)
Br 0.5000 0.5000 0.0000 (multiplicity 1)

Values from the calculation:
E_form (uncorrected), eV per atom: 0.071
E, eV/atom: -17.4474

***

Record 6
Here is a crystal of ScBeIn2 relaxed with PBEsol from Alexandria via LeMat-Bulk. Energies are from meta-GGA SCAN.

abc: 3.1721 4.2743 5.8151
angles: 90.00 90.26 90.00
Space group P2/m (No. 10)
Asymmetric unit:
Sc 0.0000 0.0000 0.0000 (multiplicity 1)
Be 0.5000 0.0000 0.5000 (multiplicity 1)
In 0.4966 0.5000 0.7450 (multiplicity 2)

Values from the calculation:
Formation energy from the elements, eV/atom: -0.077
E, eV/atom: -21.4184

***

Please write out number 4 again, unchanged.
Here is a crystal of SrOsPd2 relaxed with PBEsol from Alexandria via LeMat-Bulk. Energies are from meta-GGA SCAN.

abc: 6.6069 6.6069 6.6069
angles: 90.00 90.00 90.00
Space group Fm-3m (No. 225)
Asymmetric unit:
Sr 0.0000 0.0000 0.0000 (multiplicity 4)
Os 0.0000 0.0000 0.5000 (multiplicity 4)
Pd 0.2500 0.2500 0.2500 (multiplicity 8)

Values from the calculation:
Formation energy from the elements, eV/atom: 0.512
E, eV/atom: -39.4143

***

Question: Which value of E does entry 5 give?
Answer: -17.4474 eV/atom